This record from the Alexandria database describes a relaxed Mn12Pt4N crystal. The functional is GGA-PBEsol.

```
17
Lattice="4.168 0.000 0.000 0.000 5.175 0.000 -0.007 0.000 9.080" Properties=species:S:1:pos:R:3 pbc="T T T"
Mn 0.984 1.272 0.785
Mn 0.984 3.904 0.785
Mn 0.995 2.588 7.502
Mn 1.029 0.000 3.113
Mn 1.038 1.225 5.257
Mn 1.038 3.950 5.257
Mn 3.122 1.225 3.823
Mn 3.122 3.950 3.823
Mn 3.131 0.000 5.967
Mn 3.165 2.588 1.578
Mn 3.176 1.272 8.295
Mn 3.176 3.904 8.295
Pt 1.039 2.588 3.100
Pt 1.054 0.000 7.536
Pt 3.106 0.000 1.544
Pt 3.121 2.588 5.980
N 2.084 2.588 0.000
```

Results
- electronic total energy (eV per cell) = -157.11
- total magnetic moment (μB/atom) = 0.146


This record from the Alexandria database describes a relaxed Ba2LiMn crystal. The functional is GGA-PBEsol.

```
4
Lattice="6.325 -1.948 0.000 6.325 1.948 0.000 -1.996 0.000 5.493" Properties=species:S:1:pos:R:3 pbc="T T T"
Ba 0.000 0.000 0.000
Ba 1.269 0.000 3.568
Li 4.463 0.000 2.259
Mn 9.082 0.000 1.007
```

Results
- electronic total energy (eV per cell) = -14.11
- energy of formation (meV/atom) = 479
- total magnetic moment (μB/atom) = 0.889


This record from the Alexandria database describes a relaxed BaCdTe2 crystal. The functional is GGA-PBEsol.

```
8
Lattice="-4.100 4.100 4.295 4.100 -4.100 4.295 4.100 4.100 -4.295" Properties=species:S:1:pos:R:3 pbc="T T T"
Ba 0.000 0.000 0.000
Ba 0.000 4.100 2.147
Cd 4.100 0.000 2.147
Cd 0.000 0.000 4.295
Te 2.050 -1.572 3.221
Te 2.528 2.050 1.074
Te 2.050 5.672 -1.074
Te 1.572 2.050 5.369
```

Results
- electronic total energy (eV per cell) = -28.42
- total magnetic moment (μB/atom) = 0.000


This record from the Alexandria database describes a relaxed CoTcAs2 crystal. The functional is GGA-PBEsol.

```
4
Lattice="4.179 0.000 0.000 0.000 4.179 0.000 0.000 0.000 3.052" Properties=species:S:1:pos:R:3 pbc="T T T"
Co 0.000 0.000 0.000
Tc 2.090 2.090 0.000
As 0.000 2.090 1.526
As 2.090 0.000 1.526
```

Results
- electronic total energy (eV per cell) = -29.21
- polymorph energy (0 for the lowest one) (meV per atom) = 0
- energy of formation (meV/atom) = 1
- total magnetic moment (μB/atom) = 0.003


This record from the Alexandria database describes a relaxed KTlCr crystal. The functional is GGA-PBEsol.

```
3
Lattice="0.000 3.684 3.684 3.684 0.000 3.684 3.684 3.684 0.000" Properties=species:S:1:pos:R:3 pbc="T T T"
K 0.000 0.000 0.000
Tl 5.526 5.526 5.526
Cr 3.684 3.684 3.684
```

Results
- electronic total energy (eV per cell) = -11.05
- polymorph energy (0 for the lowest one) (meV per atom) = 354
- energy of formation (meV/atom) = 985
- total magnetic moment (μB/atom) = 1.654


This record from the Alexandria database describes a relaxed ScTa2PO crystal. The functional is GGA-PBEsol.

```
5
Lattice="4.100 0.000 0.000 0.000 4.100 0.000 0.000 0.000 4.314" Properties=species:S:1:pos:R:3 pbc="T T T"
Sc 0.000 0.000 0.000
Ta 0.000 2.050 2.157
Ta 2.050 0.000 2.157
P 2.050 2.050 0.000
O 0.000 0.000 2.157
```

Results
- electronic total energy (eV per cell) = -46.70
- total magnetic moment (μB/atom) = 0.000


This record from the Alexandria database describes a relaxed SiRh2Se crystal. The functional is GGA-PBEsol.

```
4
Lattice="2.993 0.000 0.000 0.000 4.607 0.000 0.000 0.000 4.141" Properties=species:S:1:pos:R:3 pbc="T T T"
Si 0.000 0.000 0.000
Rh 0.000 2.304 3.233
Rh 1.496 0.000 2.083
Se 1.496 2.304 1.150
```

Results
- electronic total energy (eV per cell) = -27.43
- polymorph energy (0 for the lowest one) (meV per atom) = 0
- total magnetic moment (μB/atom) = 0.000


This record from the Alexandria database describes a relaxed CrHgIr2 crystal. The functional is GGA-PBEsol.

```
4
Lattice="3.959 0.000 0.000 0.000 3.959 0.000 0.000 0.000 3.828" Properties=species:S:1:pos:R:3 pbc="T T T"
Cr 0.000 0.000 0.000
Hg 1.980 1.980 0.000
Ir 0.000 1.980 1.914
Ir 1.980 0.000 1.914
```

Results
- electronic total energy (eV per cell) = -29.06
- energy of formation (meV/atom) = 350
- total magnetic moment (μB/atom) = 0.626


This record from the Alexandria database describes a relaxed Sb2AsPbI crystal. The functional is GGA-PBEsol.

```
5
Lattice="5.776 0.000 0.000 0.000 5.776 0.000 0.000 0.000 5.791" Properties=species:S:1:pos:R:3 pbc="T T T"
Sb 0.000 2.888 0.000
Sb 2.888 0.000 0.000
As 0.000 0.000 2.895
Pb 2.888 2.888 0.000
I 2.888 2.888 2.895
```

Results
- electronic total energy (eV per cell) = -14.55
- total magnetic moment (μB/atom) = 0.003


This record from the Alexandria database describes a relaxed AgTeBr2 crystal. The functional is GGA-PBEsol.

```
4
Lattice="-2.841 2.841 3.336 2.841 -2.841 3.336 2.841 2.841 -3.336" Properties=species:S:1:pos:R:3 pbc="T T T"
Ag 0.000 0.000 0.000
Te 0.000 0.000 3.336
Br 2.841 0.000 0.000
Br 0.000 2.841 0.000
```

Results
- electronic total energy (eV per cell) = -10.62
- polymorph energy (0 for the lowest one) (meV per atom) = 0
- total magnetic moment (μB/atom) = 0.000


This record from the Alexandria database describes a relaxed YAs2RhW crystal. The functional is GGA-PBEsol.

```
5
Lattice="5.047 0.000 0.000 0.000 5.047 0.000 0.000 0.000 4.820" Properties=species:S:1:pos:R:3 pbc="T T T"
Y 0.000 0.000 0.000
As 0.000 2.523 0.000
As 2.523 0.000 0.000
Rh 2.523 2.523 2.410
W 0.000 0.000 2.410
```

Results
- electronic total energy (eV per cell) = -28.33
- energy of formation (meV/atom) = 2129
- total magnetic moment (μB/atom) = 0.248


This record from the Alexandria database describes a relaxed Cd3HCl crystal. The functional is GGA-PBEsol.

```
5
Lattice="4.592 0.000 0.000 0.000 4.592 0.000 0.000 0.000 4.592" Properties=species:S:1:pos:R:3 pbc="T T T"
Cd 0.000 0.000 2.296
Cd 0.000 2.296 0.000
Cd 2.296 0.000 0.000
H 0.000 0.000 0.000
Cl 2.296 2.296 2.296
```

Results
- electronic total energy (eV per cell) = -7.98
- total magnetic moment (μB/atom) = 0.000